Record 1
Material: Hf2MgGe
Method: DFT, PBE
State: optimized geometry

Computed properties:
calculated formation energy	0.13	eV/atom
final energy	-6.3987	eV/atom
D(E_F)	6.79	states/eV per cell
SG	No. 122

```
Hf2MgGe
1.0
7.694 0.000 0.000
0.000 7.694 0.000
3.847 3.847 2.896
Mg Hf Ge
2 4 2
Direct
0.250 0.750 0.500
0.500 0.500 0.000
0.875 0.901 0.750
0.651 0.125 0.250
0.099 0.625 0.250
0.375 0.349 0.750
0.000 0.000 0.000
0.750 0.250 0.500
```

=====

Record 2
Material: Hf3MgGe
Method: DFT, PBE
State: optimized geometry

Computed properties:
calculated formation energy	0.32	eV/atom
final energy	-6.8950	eV/atom
D(E_F)	3.13	states/eV per cell
SG	No. 221

```
Hf3MgGe
1.0
4.995 0.000 0.000
0.000 4.995 0.000
0.000 0.000 4.995
Hf Ge Mg
3 1 1
Direct
0.000 0.000 0.500
0.000 0.500 0.000
0.500 0.000 0.000
0.000 0.000 0.000
0.500 0.500 0.500
```

=====

Record 3
Material: Hf2MgGe
Method: DFT, PBE
State: optimized geometry

Computed properties:
calculated formation energy	-0.02	eV/atom
final energy	-6.5466	eV/atom
D(E_F)	4.13	states/eV per cell
SG	No. 225

```
Hf2MgGe
1.0
0.000 3.395 3.395
3.395 0.000 3.395
3.395 3.395 0.000
Ge Mg Hf
1 1 2
Direct
0.500 0.500 0.500
0.000 0.000 0.000
0.250 0.250 0.250
0.750 0.750 0.750
```

=====

Record 4
Material: Hf2MgGeMo
Method: DFT, PBE
State: optimized geometry

Computed properties:
calculated formation energy	1.51	eV/atom
final energy	-5.8799	eV/atom
D(E_F)	5.08	states/eV per cell
SG	No. 123

```
Hf2MgGeMo
1.0
4.961 0.000 0.000
0.000 4.433 0.000
0.000 0.000 4.961
Mg Hf Ge Mo
1 2 1 1
Direct
0.000 0.000 0.000
0.000 0.000 0.500
0.500 0.000 0.000
0.000 0.500 0.000
0.500 0.500 0.500
```

=====

Record 5
Material: HfMgGeN2
Method: DFT, PBE
State: optimized geometry

Computed properties:
final energy	-5.9175	eV/atom
formation energy without anion corrections	0.646	eV per atom
D(E_F)	3.73	states/eV per cell
SG	No. 123

```
HfMgGeN2
1.0
4.116 0.000 0.000
0.000 6.029 0.000
0.000 0.000 4.116
Hf N Mg Ge
1 2 1 1
Direct
0.000 0.000 0.000
0.000 0.000 0.500
0.500 0.000 0.000
0.000 0.500 0.000
0.500 0.500 0.500
```

=====

Record 6
Material: HfMgGeO5
Method: DFT, PBE
State: optimized geometry

Computed properties:
final energy	-7.6738	eV/atom
formation energy without anion corrections	-2.554	eV per atom
D(E_F)	0.00	states/eV per cell
SG	No. 15

```
HfMgGeO5
1.0
5.519 -0.030 -0.042
-1.640 5.270 -0.042
-1.663 -2.246 6.931
O Mg Ge Hf
10 2 2 2
Direct
0.100 0.900 0.250
0.343 0.945 0.649
0.278 0.387 0.573
0.055 0.657 0.851
0.722 0.613 0.427
0.900 0.100 0.750
0.613 0.722 0.927
0.387 0.278 0.073
0.945 0.343 0.149
0.657 0.055 0.351
0.671 0.329 0.750
0.329 0.671 0.250
0.319 0.681 0.750
0.681 0.319 0.250
0.000 0.000 0.500
0.000 0.000 0.000
```

=====

Record 7
Material: HfMgRe2Ge
Method: DFT, PBE
State: optimized geometry

Computed properties:
calculated formation energy	2.04	eV/atom
final energy	-6.1705	eV/atom
D(E_F)	5.27	states/eV per cell
SG	No. 123

```
HfMgRe2Ge
1.0
4.766 0.000 0.000
0.000 5.336 0.000
0.000 0.000 4.766
Hf Ge Re Mg
1 1 2 1
Direct
0.000 0.000 0.000
0.500 0.500 0.500
0.000 0.000 0.500
0.500 0.000 0.000
0.000 0.500 0.000
```

=====

Record 8
Material: HfMg2GeSe
Method: DFT, PBE
State: optimized geometry

Computed properties:
final energy	-3.3289	eV/atom
formation energy without anion corrections	0.920	eV per atom
D(E_F)	7.10	states/eV per cell
SG	No. 123

```
HfMg2GeSe
1.0
-2.528 -4.336 -2.725
3.600 0.098 -3.495
3.073 -3.715 3.061
Mg Se Hf Ge
2 1 1 1
Direct
0.000 0.000 0.500
0.500 0.000 0.000
0.500 0.500 0.500
0.000 0.000 0.000
0.000 0.500 0.000
```